[1]
Entry from Alexandria: an optimized crystal structure of BaNiRu (PBE-GGA).

Output
Total magnetization (μB per formula unit): 2.01
Energy (eV/atom): -4.66
E_form (eV/atom): 1.00
Crystal system: cubic
Energy relative to the lowest polymorph listed for this composition (kJ/mol of formula units): 239

a = 4.6655 Å, b = 4.6655 Å, c = 4.6655 Å
α = 60.00°, β = 60.00°, γ = 60.00°
With the nearest neighbours (Å) after each atom.
Positions (direct):
Ba (0.0000, 0.0000, 0.0000)  4 Ni 2.86
Ni (0.2500, 0.2500, 0.2500)  4 Ba 2.86, 4 Ru 2.86
Ru (0.5000, 0.5000, 0.5000)  4 Ni 2.86

[2]
Entry from Alexandria: an optimized crystal structure of SmLuPb (PBE-GGA).

Output
Total magnetization (μB per formula unit): 0.00
Energy (eV/atom): -4.53
E_form (eV/atom): -0.21
Crystal system: trigonal
Energy relative to the lowest polymorph listed for this composition (kJ/mol of formula units): 21

a = 5.1962 Å, b = 5.1962 Å, c = 3.9204 Å
α = 90.00°, β = 90.00°, γ = 120.00°
With the nearest neighbours (Å) after each atom.
Positions (direct):
Sm (0.0000, 0.0000, 0.0000)  6 Pb 3.47-3.70, 6 Lu 3.55-3.62
Lu (0.3333, 0.6667, 0.4838)  3 Pb 3.01
Pb (0.6667, 0.3333, 0.5534)  3 Lu 3.01

[3]
Entry from Alexandria: an optimized crystal structure of KGa3Tc (PBE-GGA).

Output
Total magnetization (μB per formula unit): 0.00
Energy (eV/atom): -3.80
E_form (eV/atom): 0.31
Crystal system: tetragonal
Energy relative to the lowest polymorph listed for this composition (kJ/mol of formula units): 233

a = 12.2816 Å, b = 12.2816 Å, c = 12.2816 Å
α = 157.18°, β = 157.18°, γ = 32.49°
With the nearest neighbours (Å) after each atom.
Positions (direct):
K (0.0000, 0.0000, 0.0000)  4 Ga 3.45
K (0.7500, 0.2500, 0.5000)  8 Ga 2.94-3.04
Ga (0.3278, 0.3278, 0.0000)  2 Tc 2.52
Ga (0.3764, 0.1376, 0.2388)  2 Ga 2.32-2.54
Ga (0.6722, 0.6722, 0.0000)  2 Tc 2.52
Ga (0.8624, 0.1012, 0.2388)  2 Ga 2.32-2.54
Ga (0.8624, 0.6236, 0.7612)  2 Ga 2.32-2.54
Ga (0.8988, 0.1376, 0.7612)  2 Ga 2.32-2.54
Tc (0.2014, 0.7014, 0.5000)  1 Tc 2.29, 2 Ga 2.52
Tc (0.2986, 0.7986, 0.5000)  1 Tc 2.29, 2 Ga 2.52

[4]
Entry from Alexandria: an optimized crystal structure of NdAs2Pd4 (PBE-GGA).

Output
Total magnetization (μB per formula unit): 0.00
Energy (eV/atom): -5.66
E_form (eV/atom): -0.68
Crystal system: orthorhombic
Energy relative to the lowest polymorph listed for this composition (kJ/mol of formula units): 50

a = 7.1511 Å, b = 7.1511 Å, c = 4.3568 Å
α = 90.00°, β = 90.00°, γ = 144.86°
With the nearest neighbours (Å) after each atom.
Positions (direct):
Nd (0.0000, 0.0000, 0.0000)  8 Pd 3.25-3.29, 8 As 3.32
As (0.4070, 0.5930, 0.5000)  4 Pd 2.47, 1 As 2.54
As (0.5930, 0.4070, 0.5000)  4 Pd 2.47, 1 As 2.54
Pd (0.1808, 0.8192, 0.5000)  2 As 2.47
Pd (0.3214, 0.6786, 0.0000)  2 As 2.47
Pd (0.6786, 0.3214, 0.0000)  2 As 2.47
Pd (0.8192, 0.1808, 0.5000)  2 As 2.47

[5]
Entry from Alexandria: an optimized crystal structure of NpTl2InSe4 (PBE-GGA).

Output
Total magnetization (μB per formula unit): 3.55
Energy (eV/atom): -4.95
Crystal system: orthorhombic

a = 8.7455 Å, b = 8.7455 Å, c = 8.7455 Å
α = 121.11°, β = 119.52°, γ = 89.47°
With the nearest neighbours (Å) after each atom.
Positions (direct):
Np (0.5000, 0.0000, 0.0000)  6 Se 2.89
Np (0.5000, 0.5000, 0.5000)  6 Se 2.89
Tl (0.0000, 0.0000, 0.0000)  6 Se 3.25-3.26
Tl (0.0000, 0.0000, 0.5000)  6 Se 3.29-3.34
Tl (0.0000, 0.5000, 0.0000)  6 Se 3.29-3.34
Tl (0.5000, 0.0000, 0.5000)  6 Se 3.25-3.26
In (0.0000, 0.5000, 0.5000)  6 Se 2.93-2.98
In (0.5000, 0.5000, 0.0000)  6 Se 2.93-2.98
Se (0.2678, 0.2946, 0.5268)  1 Np 2.89, 2 In 2.93
Se (0.2678, 0.7410, 0.9732)  1 Np 2.89, 2 In 2.93
Se (0.2705, 0.7384, 0.5322)  2 Np 2.89, 1 In 2.98
Se (0.2938, 0.2616, 0.0322)  2 Np 2.89, 1 In 2.98
Se (0.7062, 0.7384, 0.9678)  2 Np 2.89, 1 In 2.98
Se (0.7295, 0.2616, 0.4678)  2 Np 2.89, 1 In 2.98
Se (0.7322, 0.2590, 0.0268)  1 Np 2.89, 2 In 2.93
Se (0.7322, 0.7054, 0.4732)  1 Np 2.89, 2 In 2.93

[6]
Entry from Alexandria: an optimized crystal structure of Ba8Pd2F (PBE-GGA).

Output
Total magnetization (μB per formula unit): 0.91
Energy (eV/atom): -3.07
Crystal system: monoclinic

a = 10.1692 Å, b = 10.1692 Å, c = 6.7803 Å
α = 92.18°, β = 92.18°, γ = 50.49°
With the nearest neighbours (Å) after each atom.
Positions (direct):
Ba (0.1504, 0.7116, 0.7661)  1 F 2.75
Ba (0.2089, 0.2089, 0.7454)  2 Pd 3.37-3.42
Ba (0.2884, 0.8496, 0.2339)  1 F 2.75
Ba (0.3662, 0.3662, 0.2578)  1 Pd 3.02
Ba (0.6338, 0.6338, 0.7422)  1 Pd 3.02
Ba (0.7116, 0.1504, 0.7661)  1 F 2.75
Ba (0.7911, 0.7911, 0.2546)  2 Pd 3.37-3.42
Ba (0.8496, 0.2884, 0.2339)  1 F 2.75
Pd (0.2018, 0.2018, 0.2486)  4 Ba 3.02-3.37
Pd (0.7982, 0.7982, 0.7514)  4 Ba 3.02-3.37
F (0.0000, 0.0000, 0.0000)  4 Ba 2.75